1.
DFT (PBE) results for crystalline TbPmGa5Pt2 at its relaxed geometry.

Results
Space-group type ... P4/mmm

Cell and atoms, written as POSCAR:
```
TbPmGa5Pt2
1.0
4.792 0.000 0.000
0.000 4.792 0.000
0.000 0.000 8.949
Pm Ga Pt Tb
1 5 2 1
Cartesian
0.000 0.000 4.474
2.396 2.396 4.474
0.000 2.396 7.066
2.396 0.000 7.066
0.000 2.396 1.882
2.396 0.000 1.882
2.396 2.396 2.126
2.396 2.396 6.822
0.000 0.000 0.000
```

2.
DFT (PBE) results for crystalline TbPmGaPt at its relaxed geometry.

Results
Space-group type ... F-43m

Cell and atoms, written as POSCAR:
```
TbPmGaPt
1.0
-0.092 4.976 -1.060
-4.277 2.669 0.688
-0.298 3.400 3.774
Tb Ga Pt Pm
1 1 1 1
Cartesian
0.000 0.000 0.000
-1.166 2.761 0.850
-3.499 8.283 2.551
-2.333 5.522 1.701
```

3.
DFT (PBE) results for crystalline Pm2ThGa3Pt4 at its relaxed geometry.

Results
Space-group type ... P-4m2

Cell and atoms, written as POSCAR:
```
Pm2ThGa3Pt4
1.0
-4.218 1.270 0.026
-1.074 -3.616 2.276
1.705 5.474 9.502
Th Pt Pm Ga
1 4 2 3
Cartesian
-1.794 1.564 5.902
-2.646 -1.173 1.151
-0.986 4.240 6.270
0.000 0.000 0.000
0.045 0.061 4.382
0.798 2.479 8.578
-1.739 1.822 2.074
0.853 2.737 4.751
-0.336 -1.162 2.259
-0.605 5.463 8.393
```

4.
DFT (PBE) results for crystalline PmTiGaPt2 at its relaxed geometry.

Results
Space-group type ... I-4m2

Cell and atoms, written as POSCAR:
```
PmTiGaPt2
1.0
4.071 0.000 0.000
0.000 4.071 0.000
-2.035 -2.035 5.931
Ga Pt Pm Ti
1 2 1 1
Cartesian
2.035 0.000 2.966
2.035 2.035 1.337
0.000 0.000 4.594
0.000 0.000 0.000
0.000 2.035 2.966
```

D(E_F): 4.46; 2.85; 4.96; 4.70 (states/eV/f.u.)
DFT formation energy: -0.3804; -0.8020; -0.9289; -0.9669 (eV/atom)